Entry 1:
Computed, not measured: crystalline La12ErTm7 at its relaxed geometry at the PBE level of DFT.

```
20
Lattice="6.211 3.586 5.147 -6.211 3.586 5.147 0.000 -7.172 5.147" Properties=species:S:1:pos:R:3 pbc="T T T"
La -5.422 0.718 6.522
La -3.333 -4.337 8.921
La -0.833 -3.441 6.882
La -3.396 -0.999 8.560
La -2.563 2.442 6.882
La 2.089 -5.054 6.522
La -2.089 5.054 8.921
La 2.563 -2.442 8.560
La 3.396 0.999 6.882
La 0.833 3.441 8.560
La 3.333 4.337 6.522
La 5.422 -0.718 8.921
Er 0.000 0.000 7.721
Tm 0.000 0.000 0.000
Tm -1.959 -0.549 4.764
Tm 1.455 -1.422 4.764
Tm 0.504 1.971 4.764
Tm -0.504 -1.971 10.678
Tm -1.455 1.422 10.678
Tm 1.959 0.549 10.678
```

- Size of the total moment: 0.0 μB/cell
- Energy relative to the lowest polymorph listed for this composition: 4 meV/atom
- Symmetry: No. 148
- Fermi-level density of states: 34.2 states/eV per cell
- Formation energy from the elements: 197 meV/atom
- Crystal system: trigonal

---

Entry 2:
Computed, not measured: crystalline Cu2AgP at its relaxed geometry at the PBE level of DFT.

```
4
Lattice="0.000 3.062 3.062 3.062 0.000 3.062 3.062 3.062 0.000" Properties=species:S:1:pos:R:3 pbc="T T T"
Cu 0.000 0.000 0.000
Cu 1.531 1.531 1.531
Ag 3.062 3.062 3.062
P 4.593 4.593 4.593
```

- Size of the total moment: 0.0 μB/cell
- Symmetry: No. 216
- Fermi-level density of states: 1.9 states/eV per cell
- Formation energy from the elements: 290 meV/atom
- Crystal system: cubic

---

Entry 3:
Computed, not measured: crystalline SbIrN2O at its relaxed geometry at the PBE level of DFT.

```
5
Lattice="4.053 0.000 0.000 0.000 4.053 0.000 0.000 0.000 3.841" Properties=species:S:1:pos:R:3 pbc="T T T"
Sb 0.000 0.000 0.000
Ir 2.027 2.027 1.920
N 0.000 2.027 0.000
N 2.027 0.000 0.000
O 0.000 0.000 1.920
```

- Size of the total moment: 1.4 μB/cell
- Formation energy (no corrections): 1.433 eV per atom
- Symmetry: No. 123
- Fermi-level density of states: 4.2 states/eV per cell
- Crystal system: tetragonal

---

Entry 4:
Computed, not measured: crystalline La2CdSiRu at its relaxed geometry at the PBE level of DFT.

```
5
Lattice="5.527 0.000 0.000 0.000 5.527 0.000 0.000 0.000 4.649" Properties=species:S:1:pos:R:3 pbc="T T T"
La 0.000 2.764 0.000
La 2.764 0.000 0.000
Cd 0.000 0.000 2.325
Si 2.764 2.764 2.325
Ru 2.764 2.764 0.000
```

- Size of the total moment: 0.0 μB/cell
- Formation energy (no corrections): -0.346 eV per atom
- Symmetry: No. 123
- Fermi-level density of states: 4.3 states/eV per cell
- Crystal system: tetragonal

---

Entry 5:
Computed, not measured: crystalline Zr4AlOs at its relaxed geometry at the PBE level of DFT.

```
6
Lattice="0.000 3.932 3.932 3.932 0.000 3.932 3.932 3.932 0.000" Properties=species:S:1:pos:R:3 pbc="T T T"
Zr 2.957 2.957 2.957
Zr 4.907 4.907 2.957
Zr 4.907 2.957 4.907
Zr 2.957 4.907 4.907
Al 0.000 0.000 0.000
Os 5.897 5.897 5.897
```

- Size of the total moment: 0.0 μB/cell
- Energy relative to the lowest polymorph listed for this composition: 673 meV/atom
- Symmetry: No. 216
- Fermi-level density of states: 7.8 states/eV per cell
- Formation energy from the elements: 447 meV/atom
- Crystal system: cubic

---

Entry 6:
Computed, not measured: crystalline ZnH at its relaxed geometry at the PBE level of DFT.

```
12
Lattice="5.435 0.000 0.000 0.000 5.435 0.000 0.000 0.000 5.435" Properties=species:S:1:pos:R:3 pbc="T T T"
Zn 0.000 1.359 2.718
Zn 0.000 4.077 2.718
Zn 1.359 2.718 0.000
Zn 2.718 0.000 1.359
Zn 2.718 0.000 4.077
Zn 4.077 2.718 0.000
H 0.000 2.718 1.359
H 0.000 2.718 4.077
H 1.359 0.000 2.718
H 2.718 1.359 0.000
H 2.718 4.077 0.000
H 4.077 0.000 2.718
```

- Size of the total moment: 0.0 μB/cell
- Symmetry: No. 223
- Fermi-level density of states: 5.6 states/eV per cell
- Crystal system: cubic
- E: -3.480 eV/f.u.

---

Entry 7:
Computed, not measured: crystalline Ti2Be2AlFe5 at its relaxed geometry at the PBE level of DFT.

```
20
Lattice="8.464 0.000 0.000 0.000 8.464 0.000 0.000 0.000 3.250" Properties=species:S:1:pos:R:3 pbc="T T T"
Ti 1.483 2.749 0.000
Ti 2.749 6.981 0.000
Ti 5.715 1.483 0.000
Ti 6.981 5.715 0.000
Be 1.019 5.251 0.000
Be 3.213 1.019 0.000
Be 5.251 7.445 0.000
Be 7.445 3.213 0.000
Al 0.000 0.000 0.000
Al 4.232 4.232 0.000
Fe 0.000 4.232 1.625
Fe 0.575 6.654 1.625
Fe 1.809 0.575 1.625
Fe 2.422 4.807 1.625
Fe 3.657 2.422 1.625
Fe 4.232 0.000 1.625
Fe 4.807 6.041 1.625
Fe 6.041 3.657 1.625
Fe 6.654 7.889 1.625
Fe 7.889 1.809 1.625
```

- Size of the total moment: 12.4 μB/cell
- Symmetry: No. 127
- Fermi-level density of states: 13.8 states/eV per cell
- Formation energy from the elements: -247 meV/atom
- Crystal system: tetragonal

---

Entry 8:
Computed, not measured: crystalline SrAcZnGa at its relaxed geometry at the PBE level of DFT.

```
4
Lattice="0.000 3.914 3.914 3.914 0.000 3.914 3.914 3.914 0.000" Properties=species:S:1:pos:R:3 pbc="T T T"
Sr 0.000 0.000 0.000
Ac 3.914 3.914 3.914
Zn 5.872 5.872 5.872
Ga 1.957 1.957 1.957
```

- Size of the total moment: 0.0 μB/cell
- Symmetry: No. 216
- Fermi-level density of states: 2.2 states/eV per cell
- Formation energy from the elements: -334 meV/atom
- Crystal system: cubic

---

Entry 9:
Computed, not measured: crystalline HgHF at its relaxed geometry at the PBE level of DFT.

```
6
Lattice="2.961 0.000 0.000 -1.466 4.376 0.000 -0.226 -1.668 9.113" Properties=species:S:1:pos:R:3 pbc="T T T"
Hg 0.015 1.202 1.515
Hg 1.254 1.507 7.598
H 1.254 -0.840 4.914
H 0.015 3.549 4.199
F -0.225 -0.437 7.992
F 1.494 3.145 1.121
```

- Size of the total moment: 0.0 μB/cell
- Energy relative to the lowest polymorph listed for this composition: 362 meV/atom
- Symmetry: No. 2
- Fermi-level density of states: 1.8 states/eV per cell
- Crystal system: triclinic

---

Entry 10:
Computed, not measured: crystalline Cs3Tl2Cl2F3 at its relaxed geometry at the PBE level of DFT.

```
10
Lattice="-2.381 2.381 15.467 2.381 -2.381 15.467 2.381 2.381 -15.467" Properties=species:S:1:pos:R:3 pbc="T T T"
Cs 0.000 0.000 0.000
Cs 0.000 0.000 12.570
Cs 0.000 0.000 18.363
Tl 0.000 0.000 5.990
Tl 0.000 0.000 24.943
Cl 2.381 0.000 7.733
Cl 0.000 2.381 7.733
F 0.000 0.000 2.832
F 0.000 0.000 15.467
F 0.000 0.000 28.102
```

- Size of the total moment: 0.0 μB/cell
- Formation energy (no corrections): -1.863 eV per atom
- Symmetry: No. 139
- Fermi-level density of states: 0.0 states/eV per cell
- Crystal system: tetragonal

---

Entry 11:
Computed, not measured: crystalline CsLi2ZnGa at its relaxed geometry at the PBE level of DFT.

```
5
Lattice="5.413 0.000 0.000 0.000 5.413 0.000 0.000 0.000 4.812" Properties=species:S:1:pos:R:3 pbc="T T T"
Cs 0.000 0.000 0.000
Li 0.000 2.707 2.406
Li 2.707 0.000 2.406
Zn 2.707 2.707 0.000
Ga 2.707 2.707 2.406
```

- Size of the total moment: 0.0 μB/cell
- Symmetry: No. 123
- Fermi-level density of states: 1.2 states/eV per cell
- Formation energy from the elements: 14 meV/atom
- Crystal system: tetragonal

---

Entry 12:
Computed, not measured: crystalline Sr2CaSbN at its relaxed geometry at the PBE level of DFT.

```
5
Lattice="5.214 0.000 0.000 0.000 5.214 0.000 0.000 0.000 4.905" Properties=species:S:1:pos:R:3 pbc="T T T"
Sr 0.000 2.607 0.000
Sr 2.607 0.000 0.000
Ca 0.000 0.000 2.453
Sb 2.607 2.607 2.453
N 0.000 0.000 0.000
```

- Size of the total moment: 0.0 μB/cell
- Formation energy (no corrections): -0.971 eV per atom
- Symmetry: No. 123
- Fermi-level density of states: 0.1 states/eV per cell
- Crystal system: tetragonal

---

Entry 13:
Computed, not measured: crystalline Ag3BSb at its relaxed geometry at the PBE level of DFT.

```
5
Lattice="5.239 0.000 0.000 0.000 5.239 0.000 0.000 0.000 5.239" Properties=species:S:1:pos:R:3 pbc="T T T"
Ag 0.000 0.000 2.619
Ag 0.000 2.619 0.000
Ag 2.619 0.000 0.000
B 2.619 2.619 2.619
Sb 0.000 0.000 0.000
```

- Size of the total moment: 0.0 μB/cell
- Formation energy (no corrections): 1.363 eV per atom
- Energy relative to the lowest polymorph listed for this composition: 826 meV/atom
- Symmetry: No. 221
- Fermi-level density of states: 4.4 states/eV per cell
- Crystal system: cubic

---

Entry 14:
Computed, not measured: crystalline ZrPaO5 at its relaxed geometry at the PBE level of DFT.

```
7
Lattice="-1.987 3.417 4.149 1.987 -3.417 4.149 1.987 3.417 -4.149" Properties=species:S:1:pos:R:3 pbc="T T T"
Zr 0.000 0.000 0.000
Pa 0.000 0.000 4.149
O 1.987 0.000 0.000
O 0.000 0.000 2.154
O 0.000 2.136 0.000
O 0.000 4.697 0.000
O 0.000 0.000 6.144
```

- Size of the total moment: 1.0 μB/cell
- Formation energy (no corrections): -2.957 eV per atom
- Symmetry: No. 71
- Fermi-level density of states: 5.6 states/eV per cell
- Crystal system: orthorhombic

---

Entry 15:
Computed, not measured: crystalline Ti3Ga4Ir2 at its relaxed geometry at the PBE level of DFT.

```
18
Lattice="6.658 -4.668 0.000 6.658 4.668 0.000 -0.701 0.000 4.540" Properties=species:S:1:pos:R:3 pbc="T T T"
Ti 6.132 3.460 3.405
Ti 3.667 1.136 4.148
Ti 4.017 -1.136 1.878
Ti 8.598 1.136 2.662
Ti 8.949 -1.136 0.392
Ti 6.483 -3.460 1.135
Ga 5.024 3.532 0.870
Ga 7.942 3.532 1.400
Ga 5.528 1.133 2.135
Ga 7.438 1.133 0.134
Ga 5.177 -1.133 4.405
Ga 7.087 -1.133 2.404
Ga 4.673 -3.532 3.139
Ga 7.591 -3.532 3.670
Ir 2.655 1.131 1.622
Ir 2.304 -1.131 3.892
Ir 10.311 1.131 0.648
Ir 9.960 -1.131 2.918
```

- Size of the total moment: 0.0 μB/cell
- Symmetry: No. 15
- Fermi-level density of states: 9.7 states/eV per cell
- Formation energy from the elements: -456 meV/atom
- Crystal system: monoclinic

---

Entry 16:
Computed, not measured: crystalline TbDy4Er3 at its relaxed geometry at the PBE level of DFT.

```
8
Lattice="11.812 -1.769 0.000 11.812 1.769 0.000 -1.588 0.000 5.915" Properties=species:S:1:pos:R:3 pbc="T T T"
Tb 0.000 0.000 0.000
Dy 2.221 0.000 2.712
Dy 5.509 0.000 1.479
Dy 16.526 0.000 4.437
Dy 19.814 0.000 3.204
Er 8.793 0.000 0.247
Er 11.018 0.000 2.958
Er 13.243 0.000 5.669
```

- Size of the total moment: 0.0 μB/cell
- Symmetry: No. 12
- Fermi-level density of states: 10.6 states/eV per cell
- Formation energy from the elements: 3 meV/atom
- Crystal system: monoclinic

---

Entry 17:
Computed, not measured: crystalline TlVSeBr2 at its relaxed geometry at the PBE level of DFT.

```
5
Lattice="5.365 0.000 0.000 0.000 5.365 0.000 0.000 0.000 4.825" Properties=species:S:1:pos:R:3 pbc="T T T"
Tl 0.000 0.000 0.000
V 2.682 2.682 2.412
Se 2.682 2.682 0.000
Br 0.000 2.682 2.412
Br 2.682 0.000 2.412
```

- Size of the total moment: 2.0 μB/cell
- Formation energy (no corrections): -0.590 eV per atom
- Energy relative to the lowest polymorph listed for this composition: 0 meV/atom
- Symmetry: No. 123
- Fermi-level density of states: 1.8 states/eV per cell
- Crystal system: tetragonal

---

Entry 18:
Computed, not measured: crystalline Sr2H5Rh at its relaxed geometry at the PBE level of DFT.

```
8
Lattice="-2.663 2.663 3.871 2.663 -2.663 3.871 2.663 2.663 -3.871" Properties=species:S:1:pos:R:3 pbc="T T T"
Sr 2.663 0.000 0.000
Sr 0.000 2.663 0.000
H 0.000 0.000 0.055
H 1.470 1.470 -1.897
H 1.193 -1.193 1.974
H -1.193 1.193 1.974
H 1.193 1.193 1.974
Rh 0.000 0.000 1.868
```

- Size of the total moment: 0.0 μB/cell
- Symmetry: No. 107
- Crystal system: tetragonal
- E: -32.127 eV/f.u.

---

Entry 19:
Computed, not measured: crystalline SrBeNi2 at its relaxed geometry at the PBE level of DFT.

```
4
Lattice="2.910 0.000 0.000 0.000 3.387 0.000 -1.092 0.000 6.426" Properties=species:S:1:pos:R:3 pbc="T T T"
Sr 0.000 0.000 0.000
Be -0.546 0.000 3.213
Ni 0.410 1.693 4.245
Ni 1.408 1.693 2.180
```

- Size of the total moment: 0.0 μB/cell
- Energy relative to the lowest polymorph listed for this composition: 352 meV/atom
- Symmetry: No. 10
- Fermi-level density of states: 2.9 states/eV per cell
- Formation energy from the elements: 209 meV/atom
- Crystal system: monoclinic

---

Entry 20:
Computed, not measured: crystalline Pm2Tm6Zr at its relaxed geometry at the PBE level of DFT.

```
9
Lattice="8.276 -4.777 0.000 8.276 4.777 0.000 -0.009 0.000 3.390" Properties=species:S:1:pos:R:3 pbc="T T T"
Pm 2.751 0.000 3.390
Pm 13.791 0.000 0.000
Tm 5.582 1.551 1.695
Tm 8.271 3.105 1.695
Tm 5.582 -1.551 1.695
Tm 10.960 1.551 1.696
Tm 8.271 -3.105 1.695
Tm 10.960 -1.551 1.696
Zr 8.276 0.000 0.000
```

- Size of the total moment: 0.0 μB/cell
- Energy relative to the lowest polymorph listed for this composition: 0 meV/atom
- Symmetry: No. 12
- Fermi-level density of states: 13.6 states/eV per cell
- Formation energy from the elements: 111 meV/atom
- Crystal system: monoclinic